1.
## Ta2HgSb (PBE-GGA)

Data for Ta2HgSb after structural relaxation.

Summary:
Volume (A^3/atom): 20.0
E above lowest polymorph (eV/f.u.): 0.77
ΔE_f (raw) (kJ per mole of atoms): 37.68
D(E_F) (states/eV/atom): 0.5121

a b c (Å): 5.810 5.507 3.039
angles (deg): 79.82 79.16 118.40
Positions (direct):
Hg 0.000 0.500 0.500
Sb 0.500 0.500 0.000
Ta 0.000 0.000 0.000
Ta 0.500 0.000 0.500

=====

2.
## Ta2HgSb (PBE-GGA)

Data for Ta2HgSb after structural relaxation.

Summary:
Volume (A^3/atom): 19.6
E above lowest polymorph (eV/f.u.): 1.11
ΔE_f (raw) (kJ per mole of atoms): 45.73
D(E_F) (states/eV/atom): 1.5528

a b c (Å): 4.802 4.802 4.802
angles (deg): 60.00 60.00 60.00
Positions (direct):
Sb 0.000 0.000 0.000
Hg 0.500 0.500 0.500
Ta 0.250 0.250 0.250
Ta 0.750 0.750 0.750

=====

3.
## TaHgSb2 (PBE-GGA)

Data for TaHgSb2 after structural relaxation.

Summary:
Volume (A^3/atom): 22.5
ΔE_f (raw) (kJ per mole of atoms): 44.70
D(E_F) (states/eV/atom): 0.8720

a b c (Å): 5.034 5.034 3.631
angles (deg): 90.00 90.00 101.50
Positions (direct):
Hg 0.000 0.500 0.500
Sb 0.000 0.000 0.000
Sb 0.500 0.500 0.000
Ta 0.500 0.000 0.500

=====

Copy entry 3 word for word.
## TaHgSb2 (PBE-GGA)

Data for TaHgSb2 after structural relaxation.

Summary:
Volume (A^3/atom): 22.5
ΔE_f (raw) (kJ per mole of atoms): 44.70
D(E_F) (states/eV/atom): 0.8720

a b c (Å): 5.034 5.034 3.631
angles (deg): 90.00 90.00 101.50
Positions (direct):
Hg 0.000 0.500 0.500
Sb 0.000 0.000 0.000
Sb 0.500 0.500 0.000
Ta 0.500 0.000 0.500